# 1
4
Lattice="-3.597 -0.159 0.709 -0.442 -0.737 -2.412 0.203 -4.572 0.005" Properties=species:S:1:pos:R:3 comment="Be2TcNi (PBE-GGA, optimized geometry)" energy_ev_per_cell=-24.2 sg="Amm2, No. 38" dos_at_fermi_per_ev_cell=2.61 pbc="T T T"
Be -1.768 -1.344 0.225
Be 0.120 -4.703 -0.449
Ni -0.118 -2.355 -1.126
Tc -1.987 -4.292 -1.548

---

# 2
6
Lattice="2.650 -3.302 -0.635 -1.431 -3.559 -1.902 1.292 -0.977 -3.963" Properties=species:S:1:pos:R:3 comment="Be4TcNi (PBE-GGA, optimized geometry)" energy_ev_per_cell=-32.4 sg="F-43m, No. 216" dos_at_fermi_per_ev_cell=3.14 pbc="T T T"
Be 2.280 -4.599 -2.749
Be 0.213 -4.729 -3.390
Tc 0.000 0.000 0.000
Be 1.592 -3.421 -4.434
Be 0.938 -2.927 -2.427
Ni 1.883 -5.878 -4.875

---

# 3
4
Lattice="-1.270 -4.250 0.754 -0.465 -2.679 -3.585 3.113 2.827 1.601" Properties=species:S:1:pos:R:3 comment="Be2TcNi (PBE-GGA, optimized geometry)" energy_ev_per_cell=-23.9 sg="I-4m2, No. 119" dos_at_fermi_per_ev_cell=3.72 pbc="T T T"
Tc 0.488 -2.444 0.470
Ni -0.867 -3.465 -1.416
Be 0.000 0.000 0.000
Be 0.891 -1.659 -1.700

---

# 4
4
Lattice="2.700 0.002 0.000 -0.002 2.700 0.000 0.000 0.000 6.544" Properties=species:S:1:pos:R:3 comment="BeTc2Ni (PBE-GGA, optimized geometry)" energy_ev_per_cell=-30.3 sg="P4/mmm, No. 123" dos_at_fermi_per_ev_cell=3.16 pbc="T T T"
Ni 1.349 1.351 4.908
Be 1.349 1.351 1.636
Tc 0.000 0.000 3.119
Tc 0.000 0.000 0.153